Entry from Alexandria: Cs3YbS3O12 after structural relaxation (PBE-GGA).

Cell: 10.024 10.024 10.024 Å, 109.84 109.84 109.84°
Fractional positions:
Cs1 0.031 0.419 0.550
Cs2 0.050 0.919 0.531
Cs3 0.419 0.550 0.031
Cs4 0.531 0.050 0.919
Cs5 0.550 0.031 0.419
Cs6 0.919 0.531 0.050
Yb1 0.205 0.205 0.205
Yb2 0.705 0.705 0.705
S1 0.129 0.808 0.922
S2 0.308 0.629 0.422
S3 0.422 0.308 0.629
S4 0.629 0.422 0.308
S5 0.808 0.922 0.129
S6 0.922 0.129 0.808
O1 0.078 0.207 0.970
O2 0.164 0.837 0.801
O3 0.192 0.706 0.965
O4 0.206 0.692 0.465
O5 0.207 0.970 0.078
O6 0.220 0.445 0.354
O7 0.301 0.337 0.664
O8 0.337 0.664 0.301
O9 0.354 0.220 0.445
O10 0.445 0.354 0.220
O11 0.465 0.206 0.692
O12 0.470 0.707 0.578
O13 0.578 0.470 0.707
O14 0.664 0.301 0.337
O15 0.692 0.465 0.206
O16 0.706 0.965 0.192
O17 0.707 0.578 0.470
O18 0.720 0.854 0.945
O19 0.801 0.164 0.837
O20 0.837 0.801 0.164
O21 0.854 0.945 0.720
O22 0.945 0.720 0.854
O23 0.965 0.192 0.706
O24 0.970 0.078 0.207

Summary:
**Raw total energy**: -5.92 eV per atom
**Space group**: No. 161
**D(E_F)**: 32.2 states/eV per cell